Here is crystalline CoAsSe2S at its relaxed geometry from the Alexandria database. Energies are from GGA-PBE.

Computed properties:
Calculated volume   21.98 Å³/atom
N(E_F)   1.2089 states/eV/atom
Total DFT energy (no corrections)   -17.7 eV/cell
Formation energy without anion corrections   99.98 kJ/mol of atoms
Magnetization   2.54 μB per cell

```
data_CoAsSe2S
_cell_length_a 4.7798
_cell_length_b 4.7798
_cell_length_c 4.8097
_cell_angle_alpha 90.00
_cell_angle_beta 90.00
_cell_angle_gamma 90.00
_space_group_name_H-M_alt 'P 4/m m m'
_space_group_IT_number 123
_space_group_name_Hall '-P 4 2'
loop_
_atom_site_label
_atom_site_fract_x
_atom_site_fract_y
_atom_site_fract_z
_atom_site_occupancy
Co1 0.0000 0.0000 0.0000 1
As1 0.5000 0.5000 0.0000 1
Se1 0.0000 0.5000 0.5000 1
S1 0.5000 0.5000 0.5000 1
```